# 1
Compound: HoTmBiTe
Source: Alexandria via LeMat-Bulk
Functional: PBE-GGA
Structure: optimized geometry

Properties
Space group   No. 99
Calculated density   9.4 g/cm3
ΔE_f (raw)   -1.0282 eV per atom

abc: 4.383 4.385 6.194
angles: 90.04 90.00 90.00
Element x y z (fractional)
Ho 0.500 0.391 0.093
Tm 0.000 0.892 0.592
Bi 0.000 0.891 0.092
Te 0.500 0.392 0.593


# 2
Compound: Ho4ThBi5
Source: Alexandria via LeMat-Bulk
Functional: PBE-GGA
Structure: optimized geometry

Properties
DFT formation energy   -7.859 eV per formula unit
Space group   No. 87
Calculated density   10.0 g/cm3

abc: 6.368 7.777 7.777
angles: 80.35 65.83 65.83
Element x y z (fractional)
Ho 0.398 0.403 0.803
Ho 0.801 0.803 0.597
Ho 0.201 0.197 0.403
Ho 0.604 0.597 0.197
Th 0.001 0.000 0.000
Bi 0.900 0.406 0.796
Bi 0.306 0.796 0.594
Bi 0.696 0.204 0.406
Bi 0.102 0.594 0.204
Bi 0.501 0.000 0.000


Repeat the second record exactly.
Compound: Ho4ThBi5
Source: Alexandria via LeMat-Bulk
Functional: PBE-GGA
Structure: optimized geometry

Properties
DFT formation energy   -7.859 eV per formula unit
Space group   No. 87
Calculated density   10.0 g/cm3

abc: 6.368 7.777 7.777
angles: 80.35 65.83 65.83
Element x y z (fractional)
Ho 0.398 0.403 0.803
Ho 0.801 0.803 0.597
Ho 0.201 0.197 0.403
Ho 0.604 0.597 0.197
Th 0.001 0.000 0.000
Bi 0.900 0.406 0.796
Bi 0.306 0.796 0.594
Bi 0.696 0.204 0.406
Bi 0.102 0.594 0.204
Bi 0.501 0.000 0.000


Q: The highest calculated density belongs to which entry?
A: Ho4ThBi5


Q: What is the calculated density in the first record?
A: 9.4 g/cm3


Q: calculated density of number 1 (HoTmBiTe)?
A: 9.4 g/cm3